ZnMo2Au | PBE | relaxed

abc: 2.703 2.703 8.638
angles: 90.00 90.00 90.13
Fractional positions:
Zn 0.000 0.000 0.000
Mo 0.500 0.500 0.240
Mo 0.500 0.500 0.760
Au 0.000 0.000 0.500

## Properties
* E_form: 0.185 eV per atom
* E_tot: -25.5 eV per cell
* symmetry: Cmmm, No. 65

***

ErTmBe | PBE | relaxed

abc: 6.402 6.402 6.402
angles: 149.09 149.09 44.28
Fractional positions:
Er 0.000 0.000 0.000
Tm 0.728 0.728 0.000
Be 0.362 0.362 0.000

## Properties
* E_form: 0.069 eV per atom
* E_tot: -12.6 eV per cell
* symmetry: I4mm, No. 107

***

Ba2Li3PuAs4 | PBE | relaxed

abc: 4.680 4.680 11.298
angles: 90.00 90.00 90.00
Fractional positions:
Ba 0.000 0.500 0.221
Ba 0.500 0.000 0.779
Li 0.000 0.500 0.887
Li 0.500 0.000 0.113
Li 0.500 0.500 0.500
Pu 0.000 0.000 0.500
As 0.000 0.000 0.000
As 0.000 0.500 0.646
As 0.500 0.000 0.354
As 0.500 0.500 0.000

## Properties
* E_form: -0.824 eV per atom
* E_tot: -50.8 eV per cell
* symmetry: P-4m2, No. 115

***

Sm3Ag | PBE | relaxed

abc: 5.478 5.478 5.478
angles: 60.00 60.00 60.00
Fractional positions:
Sm 0.000 0.000 0.000
Sm 0.250 0.250 0.250
Sm 0.750 0.750 0.750
Ag 0.500 0.500 0.500

## Properties
* E_form: 0.089 eV per atom
* E_tot: -16.7 eV per cell
* energy above the most stable polymorph in this dataset: 183 meV/atom
* symmetry: Fm-3m, No. 225

***

InGa3H | PBE | relaxed

abc: 5.372 5.372 5.372
angles: 90.00 90.00 90.00
Fractional positions:
In 0.000 0.000 0.000
Ga 0.000 0.000 0.500
Ga 0.000 0.500 0.000
Ga 0.500 0.000 0.000
H 0.500 0.500 0.500

## Properties
* E_tot: -10.8 eV per cell
* energy above the most stable polymorph in this dataset: 692 meV/atom
* symmetry: Pm-3m, No. 221

***

AlTlO3 | PBE | relaxed

abc: 5.366 7.616 5.246
angles: 90.00 90.00 90.00
Fractional positions:
Al 0.000 0.000 0.000
Al 0.000 0.500 0.000
Al 0.500 0.000 0.500
Al 0.500 0.500 0.500
Tl 0.040 0.250 0.486
Tl 0.460 0.750 0.986
Tl 0.540 0.250 0.014
Tl 0.960 0.750 0.514
O 0.035 0.750 0.097
O 0.210 0.551 0.707
O 0.210 0.949 0.707
O 0.290 0.051 0.207
O 0.290 0.449 0.207
O 0.465 0.250 0.597
O 0.535 0.750 0.403
O 0.710 0.551 0.793
O 0.710 0.949 0.793
O 0.790 0.051 0.293
O 0.790 0.449 0.293
O 0.965 0.250 0.903

## Properties
* E_tot: -119.4 eV per cell
* symmetry: Pnma, No. 62
* formation energy without anion corrections: -170.9 kJ/mol of atoms

***

In2Hg12Pb5 | PBE | relaxed

abc: 5.820 9.949 10.060
angles: 71.51 84.55 73.76
Fractional positions:
In 0.029 0.293 0.228
In 0.971 0.707 0.772
Hg 0.074 0.369 0.890
Hg 0.199 0.546 0.544
Hg 0.215 0.043 0.068
Hg 0.245 0.973 0.426
Hg 0.353 0.854 0.856
Hg 0.464 0.321 0.360
Hg 0.536 0.679 0.640
Hg 0.647 0.146 0.144
Hg 0.755 0.027 0.574
Hg 0.785 0.957 0.932
Hg 0.801 0.454 0.456
Hg 0.926 0.631 0.110
Pb 0.202 0.177 0.658
Pb 0.375 0.707 0.226
Pb 0.500 0.500 0.000
Pb 0.625 0.293 0.774
Pb 0.798 0.823 0.342

## Properties
* E_form: 0.032 eV per atom
* E_tot: -27.0 eV per cell
* symmetry: P-1, No. 2

***

CaFe2HgMo | PBE | relaxed

abc: 4.903 4.903 5.407
angles: 90.00 90.00 90.00
Fractional positions:
Ca 0.000 0.000 0.000
Fe 0.000 0.500 0.500
Fe 0.500 0.000 0.500
Hg 0.000 0.000 0.500
Mo 0.500 0.500 0.000

## Properties
* E_form: 1.684 eV per atom
* E_tot: -21.6 eV per cell
* symmetry: P4/mmm, No. 123

***

AsH2OsCl | PBE | relaxed

abc: 3.685 3.685 4.756
angles: 90.00 90.00 90.00
Fractional positions:
As 0.000 0.000 0.000
H 0.000 0.500 0.500
H 0.500 0.000 0.500
Os 0.500 0.500 0.500
Cl 0.500 0.500 0.000

## Properties
* E_tot: -19.5 eV per cell
* energy above the most stable polymorph in this dataset: 27 meV/atom
* symmetry: P4/mmm, No. 123

***

SrY3Ni | PBE | relaxed

abc: 5.453 5.453 5.453
angles: 90.00 90.00 90.00
Fractional positions:
Sr 0.000 0.000 0.000
Y 0.000 0.500 0.500
Y 0.500 0.000 0.500
Y 0.500 0.500 0.000
Ni 0.500 0.500 0.500

## Properties
* E_form: -0.055 eV per atom
* E_tot: -27.1 eV per cell
* energy above the most stable polymorph in this dataset: 0 meV/atom
* symmetry: Pm-3m, No. 221

***

Mg2SeI | PBE | relaxed

abc: 8.131 8.131 8.131
angles: 133.00 133.00 68.66
Fractional positions:
Mg 0.062 0.625 0.937
Mg 0.375 0.312 0.437
Mg 0.688 0.125 0.063
Mg 0.875 0.938 0.563
Se 0.000 0.000 0.000
Se 0.750 0.250 0.500
I 0.250 0.750 0.500
I 0.500 0.500 0.000

## Properties
* E_tot: -21.6 eV per cell
* energy above the most stable polymorph in this dataset: 0 meV/atom
* symmetry: I-42d, No. 122
* formation energy without anion corrections: -62.5 kJ/mol of atoms

***

NaPmI2 | PBE | relaxed

abc: 9.103 9.103 9.103
angles: 26.16 26.16 26.16
Fractional positions:
Na 0.000 0.000 0.000
Pm 0.166 0.166 0.166
I 0.415 0.415 0.415
I 0.585 0.585 0.585

## Properties
* E_tot: -13.1 eV per cell
* energy above the most stable polymorph in this dataset: 0 meV/atom
* symmetry: R3m, No. 160
* formation energy without anion corrections: -94.5 kJ/mol of atoms

***

Ac5CdNi2 | PBE | relaxed

abc: 9.392 9.392 9.392
angles: 126.77 126.77 78.62
Fractional positions:
Ac 0.000 0.000 0.000
Ac 0.024 0.524 0.819
Ac 0.206 0.024 0.500
Ac 0.294 0.794 0.819
Ac 0.476 0.294 0.500
Ac 0.500 0.500 0.000
Ac 0.524 0.706 0.500
Ac 0.706 0.206 0.181
Ac 0.794 0.976 0.500
Ac 0.976 0.476 0.181
Cd 0.250 0.250 0.000
Cd 0.750 0.750 0.000
Ni 0.124 0.376 0.500
Ni 0.376 0.876 0.251
Ni 0.624 0.124 0.749
Ni 0.876 0.624 0.500

## Properties
* E_form: -0.176 eV per atom
* E_tot: -68.8 eV per cell
* symmetry: I4/mcm, No. 140

***

Be3TcCl | PBE | relaxed

abc: 4.334 4.334 4.334
angles: 90.00 90.00 90.00
Fractional positions:
Be 0.000 0.000 0.500
Be 0.000 0.500 0.000
Be 0.500 0.000 0.000
Tc 0.000 0.000 0.000
Cl 0.500 0.500 0.500

## Properties
* E_tot: -17.2 eV per cell
* energy above the most stable polymorph in this dataset: 103 meV/atom
* symmetry: Pm-3m, No. 221
* formation energy without anion corrections: 119.8 kJ/mol of atoms

***

Ba6SrCa8 | PBE | relaxed

abc: 10.311 10.311 10.311
angles: 59.34 59.34 59.34
Fractional positions:
Ba 0.030 0.555 0.775
Ba 0.225 0.970 0.445
Ba 0.445 0.225 0.970
Ba 0.555 0.775 0.030
Ba 0.775 0.030 0.555
Ba 0.970 0.445 0.225
Sr 0.500 0.500 0.500
Ca 0.074 0.074 0.074
Ca 0.166 0.622 0.310
Ca 0.310 0.166 0.622
Ca 0.378 0.690 0.834
Ca 0.622 0.310 0.166
Ca 0.690 0.834 0.378
Ca 0.834 0.378 0.690
Ca 0.926 0.926 0.926

## Properties
* E_form: 0.066 eV per atom
* E_tot: -28.2 eV per cell
* energy above the most stable polymorph in this dataset: 0 meV/atom
* symmetry: R-3, No. 148

***

Hf2ScTiC | PBE | relaxed

abc: 4.615 4.615 4.250
angles: 90.00 90.00 90.00
Fractional positions:
Hf 0.000 0.500 0.000
Hf 0.500 0.000 0.000
Sc 0.000 0.000 0.500
Ti 0.500 0.500 0.500
C 0.500 0.500 0.000

## Properties
* E_form: -0.246 eV per atom
* E_tot: -44.6 eV per cell
* symmetry: P4/mmm, No. 123

***

BePdPb2S | PBE | relaxed

abc: 5.690 5.690 3.664
angles: 90.00 90.00 90.00
Fractional positions:
Be 0.000 0.000 0.000
Pd 0.500 0.500 0.000
Pb 0.000 0.500 0.500
Pb 0.500 0.000 0.500
S 0.000 0.000 0.500

## Properties
* E_tot: -19.3 eV per cell
* symmetry: P4/mmm, No. 123
* formation energy without anion corrections: 23.2 kJ/mol of atoms

***

ZrTlMo2 | PBE | relaxed

abc: 3.062 4.306 5.948
angles: 90.00 99.63 90.00
Fractional positions:
Zr 0.000 0.000 0.000
Tl 0.415 0.500 0.717
Mo 0.489 0.500 0.242
Mo 0.853 0.000 0.438

## Properties
* E_form: 0.273 eV per atom
* E_tot: -31.5 eV per cell
* energy above the most stable polymorph in this dataset: 129 meV/atom
* symmetry: Pm, No. 6

***

La15CeDy4 | PBE | relaxed

abc: 5.210 5.210 26.052
angles: 90.00 90.00 90.00
Fractional positions:
La 0.000 0.000 0.000
La 0.000 0.000 0.200
La 0.000 0.000 0.400
La 0.000 0.000 0.600
La 0.000 0.000 0.800
La 0.000 0.500 0.098
La 0.000 0.500 0.299
La 0.000 0.500 0.500
La 0.000 0.500 0.701
La 0.000 0.500 0.902
La 0.500 0.000 0.098
La 0.500 0.000 0.299
La 0.500 0.000 0.500
La 0.500 0.000 0.701
La 0.500 0.000 0.902
Ce 0.500 0.500 0.000
Dy 0.500 0.500 0.200
Dy 0.500 0.500 0.400
Dy 0.500 0.500 0.600
Dy 0.500 0.500 0.800

## Properties
* E_form: 0.023 eV per atom
* E_tot: -97.8 eV per cell
* symmetry: P4/mmm, No. 123

***

LaScTa2 | PBE | relaxed

abc: 3.057 3.057 10.541
angles: 90.00 90.00 111.54
Fractional positions:
La 0.000 0.000 0.000
Sc 0.500 0.500 0.691
Ta 0.000 0.000 0.464
Ta 0.500 0.500 0.263

## Properties
* E_form: 0.294 eV per atom
* E_tot: -33.8 eV per cell
* energy above the most stable polymorph in this dataset: 87 meV/atom
* symmetry: Cmm2, No. 35